First-principles (PBE) data for a relaxed La4Dy2Sb3N2 crystal, as listed in the Alexandria database.

abc: 13.5061 13.5061 13.5061
angles: 159.39 159.39 29.31
Closest atoms and distances in Å follow each position.
Element x y z (fractional)
La 0.0852 0.5852 0.5000  2 N 2.51
La 0.4148 0.9148 0.5000  2 N 2.51
La 0.5852 0.0852 0.5000  2 N 2.51
La 0.9148 0.4148 0.5000  2 N 2.51
Dy 0.1946 0.1946 0.0000  1 N 2.18
Dy 0.8054 0.8054 0.0000  1 N 2.18
Sb 0.3170 0.3170 0.0000  5 Dy 3.20-3.43, 4 La 3.52
Sb 0.5000 0.5000 0.0000  8 La 3.28
Sb 0.6830 0.6830 0.0000  5 Dy 3.20-3.43, 4 La 3.52
N 0.1113 0.1113 0.0000  1 Dy 2.18
N 0.8887 0.8887 0.0000  1 Dy 2.18

Computed properties:
calculated volume: 305.1 Å³ per cell
raw total energy: -6.435 eV per atom
ΔE_f (raw): -1.1686 eV per atom
total moment: 0.00 μB/f.u.